YAs2SeO PBE relaxed; D(E_F) = 0.262 states/eV per atom; energy relative to the elements, uncorrected = -0.54 eV per atom; excess energy over the best structure of this formula in the dataset = 0.00 kcal/mol of atoms; final energy = -26.9 eV per cell
1.0
-3.345 -0.251 2.764
2.445 -2.315 2.749
1.478 4.130 2.164
As Se Y O
2 1 1 1
Direct
0.000 0.500 0.000 As
0.500 0.000 0.000 As
0.000 0.000 0.500 Se
0.500 0.500 0.500 Y
0.000 0.000 0.000 O